# 1
DFT (PBE) results for a relaxed SmPaFe2 crystal.

POSCAR file:
```
SmPaFe2
1.0
1.751 1.011 7.482
-1.751 1.011 7.482
0.000 -2.021 7.482
Sm Pa Fe
1 1 2
Direct
0.000 0.000 0.000
0.500 0.500 0.500
0.239 0.239 0.239
0.761 0.761 0.761
```

## Properties
The total energy comes out at -7.581 eV/atom. The formation energy comes out at 0.20 eV per atom. The volume comes out at 79.4 Å³ per cell. Its crystal system is trigonal.



# 2
DFT (PBE) results for a relaxed MnSi3Br crystal.

POSCAR file:
```
MnSi3Br
1.0
4.492 0.000 0.000
0.000 4.492 0.000
0.000 0.000 4.492
Mn Si Br
1 3 1
Direct
0.000 0.000 0.000
0.000 0.000 0.500
0.000 0.500 0.000
0.500 0.000 0.000
0.500 0.500 0.500
```

## Properties
The total energy comes out at -5.360 eV/atom. For the uncorrected formation energy, the calculation gives 63 meV per atom. The volume comes out at 90.6 Å³ per cell. Its crystal system is cubic.



# 3
DFT (PBE) results for a relaxed Pm6HoTm2 crystal.

POSCAR file:
```
Pm6HoTm2
1.0
8.151 -5.884 0.000
8.151 5.884 0.000
-0.652 0.000 6.176
Pm Ho Tm
12 2 4
Direct
0.093 0.811 0.986
0.144 0.426 0.154
0.189 0.907 0.514
0.239 0.522 0.681
0.426 0.144 0.654
0.478 0.761 0.819
0.522 0.239 0.181
0.574 0.856 0.346
0.761 0.478 0.319
0.811 0.093 0.486
0.856 0.574 0.846
0.907 0.189 0.014
0.401 0.599 0.250
0.599 0.401 0.750
0.067 0.266 0.584
0.266 0.067 0.084
0.734 0.933 0.916
0.933 0.734 0.416
```

## Properties
The total energy comes out at -4.584 eV/atom. The formation energy comes out at 0.08 eV per atom. The volume comes out at 592.3 Å³ per cell. Its crystal system is monoclinic.



# 4
DFT (PBE) results for a relaxed HgOs4W crystal.

POSCAR file:
```
HgOs4W
1.0
0.000 3.659 3.659
3.659 0.000 3.659
3.659 3.659 0.000
Hg Os W
1 4 1
Direct
0.000 0.000 0.000
0.125 0.625 0.625
0.625 0.125 0.625
0.625 0.625 0.125
0.625 0.625 0.625
0.250 0.250 0.250
```

## Properties
The total energy comes out at -8.908 eV/atom. The formation energy comes out at 0.79 eV per atom. The volume comes out at 98.0 Å³ per cell. Its crystal system is cubic.



# 5
DFT (PBE) results for a relaxed Dy6Ge2AsSe3 crystal.

POSCAR file:
```
Dy6Ge2AsSe3
1.0
8.990 -2.062 0.000
8.990 2.062 0.000
-1.901 0.000 8.040
Dy Ge As Se
6 2 1 3
Direct
0.004 0.004 0.245
0.331 0.331 0.424
0.335 0.335 0.908
0.665 0.665 0.092
0.669 0.669 0.576
0.996 0.996 0.755
0.166 0.166 0.333
0.834 0.834 0.667
0.500 0.500 0.000
0.165 0.165 0.834
0.500 0.500 0.500
0.835 0.835 0.166
```

## Properties
The total energy comes out at -5.842 eV/atom. For the uncorrected formation energy, the calculation gives -1513 meV per atom. The volume comes out at 298.0 Å³ per cell. Its crystal system is monoclinic.



# 6
DFT (PBE) results for a relaxed SmDy3Er2Se6 crystal.

POSCAR file:
```
SmDy3Er2Se6
1.0
3.519 -6.132 0.000
3.519 6.132 0.000
-2.354 0.000 6.667
Sm Dy Er Se
1 3 2 6
Direct
0.000 0.000 0.000
0.160 0.840 0.500
0.500 0.500 0.500
0.840 0.160 0.500
0.334 0.666 0.000
0.666 0.334 0.000
0.084 0.426 0.252
0.259 0.259 0.753
0.426 0.084 0.252
0.574 0.916 0.748
0.741 0.741 0.247
0.916 0.574 0.748
```

## Properties
The total energy comes out at -5.790 eV/atom. For the uncorrected formation energy, the calculation gives -1743 meV per atom. The volume comes out at 287.7 Å³ per cell. Its crystal system is monoclinic.



# 7
DFT (PBE) results for a relaxed ZnRhSe2Br crystal.

POSCAR file:
```
ZnRhSe2Br
1.0
4.885 0.000 0.000
0.000 4.885 0.000
0.000 0.000 5.148
Zn Rh Se Br
1 1 2 1
Direct
0.000 0.000 0.000
0.500 0.500 0.500
0.000 0.500 0.500
0.500 0.000 0.500
0.500 0.500 0.000
```

## Properties
The total energy comes out at -3.176 eV/atom. For the uncorrected formation energy, the calculation gives 277 meV per atom. The volume comes out at 122.8 Å³ per cell. Its crystal system is tetragonal.



# 8
DFT (PBE) results for a relaxed CrFeRh2 crystal.

POSCAR file:
```
CrFeRh2
1.0
1.338 0.773 8.498
-1.338 0.773 8.498
0.000 -1.545 8.498
Cr Fe Rh
1 1 2
Direct
0.000 0.000 0.000
0.500 0.500 0.500
0.252 0.252 0.252
0.748 0.748 0.748
```

## Properties
The total energy comes out at -8.194 eV/atom. The formation energy comes out at 0.00 eV per atom. The volume comes out at 52.7 Å³ per cell. Its crystal system is trigonal.



# 9
DFT (PBE) results for a relaxed LiV2Br crystal.

POSCAR file:
```
LiV2Br
1.0
0.000 3.094 3.094
3.094 0.000 3.094
3.094 3.094 0.000
Li V Br
1 2 1
Direct
0.000 0.000 0.000
0.250 0.250 0.250
0.750 0.750 0.750
0.500 0.500 0.500
```

## Properties
The total energy comes out at -4.611 eV/atom. For the uncorrected formation energy, the calculation gives 845 meV per atom. The volume comes out at 59.2 Å³ per cell. Its crystal system is cubic.



# 10
DFT (PBE) results for a relaxed Be3RuC crystal.

POSCAR file:
```
Be3RuC
1.0
3.542 0.000 0.000
0.000 3.542 0.000
0.000 0.000 3.542
Be Ru C
3 1 1
Direct
0.000 0.000 0.500
0.000 0.500 0.000
0.500 0.000 0.000
0.500 0.500 0.500
0.000 0.000 0.000
```

## Properties
The total energy comes out at -5.612 eV/atom. The formation energy comes out at 0.32 eV per atom. The volume comes out at 44.4 Å³ per cell. Its crystal system is cubic.



# 11
DFT (PBE) results for a relaxed CePd6Au2 crystal.

POSCAR file:
```
CePd6Au2
1.0
6.258 -2.624 0.000
6.258 2.624 0.000
-1.672 0.000 4.993
Ce Pd Au
1 6 2
Direct
0.000 0.000 0.000
0.063 0.539 0.096
0.282 0.718 0.500
0.461 0.937 0.904
0.501 0.499 0.000
0.671 0.122 0.315
0.878 0.329 0.685
0.240 0.353 0.592
0.647 0.760 0.408
```

## Properties
The total energy comes out at -5.153 eV/atom. The formation energy comes out at -0.30 eV per atom. The volume comes out at 164.0 Å³ per cell. Its crystal system is monoclinic.



# 12
DFT (PBE) results for a relaxed Dy2ErTm5 crystal.

POSCAR file:
```
Dy2ErTm5
1.0
-3.495 3.495 4.941
3.495 -3.495 4.941
3.495 3.495 -4.941
Dy Er Tm
2 1 5
Direct
0.000 0.500 0.500
0.500 0.000 0.500
0.000 0.000 0.000
0.000 0.000 0.500
0.000 0.500 0.000
0.500 0.000 0.000
0.500 0.500 0.000
0.500 0.500 0.500
```

## Properties
The total energy comes out at -4.491 eV/atom. The formation energy comes out at 0.02 eV per atom. The volume comes out at 241.5 Å³ per cell. Its crystal system is tetragonal.



# 13
DFT (PBE) results for a relaxed Hf2Nb3Sn2 crystal.

POSCAR file:
```
Hf2Nb3Sn2
1.0
4.897 -2.348 0.000
4.897 2.348 0.000
-0.652 0.000 6.278
Hf Nb Sn
2 3 2
Direct
0.099 0.099 0.225
0.901 0.901 0.775
0.380 0.380 0.066
0.500 0.500 0.500
0.620 0.620 0.934
0.192 0.192 0.690
0.808 0.808 0.310
```

## Properties
The total energy comes out at -8.417 eV/atom. The formation energy comes out at -0.11 eV per atom. The volume comes out at 144.4 Å³ per cell. Its crystal system is monoclinic.



# 14
DFT (PBE) results for a relaxed PuThSiAu crystal.

POSCAR file:
```
PuThSiAu
1.0
0.000 3.640 3.640
3.640 0.000 3.640
3.640 3.640 0.000
Pu Th Si Au
1 1 1 1
Direct
0.000 0.000 0.000
0.500 0.500 0.500
0.250 0.250 0.250
0.750 0.750 0.750
```

## Properties
The total energy comes out at -8.018 eV/atom. For the uncorrected formation energy, the calculation gives -405 meV per atom. The volume comes out at 96.5 Å³ per cell. Its crystal system is cubic.



# 15
DFT (PBE) results for a relaxed KOs2Rh crystal.

POSCAR file:
```
KOs2Rh
1.0
4.438 -1.371 0.000
4.438 1.371 0.000
-0.753 0.000 6.904
K Os Rh
1 2 1
Direct
0.000 0.000 0.000
0.227 0.227 0.632
0.492 0.492 0.520
0.772 0.772 0.328
```

## Properties
The total energy comes out at -6.933 eV/atom. The formation energy comes out at 0.79 eV per atom. The volume comes out at 84.0 Å³ per cell. Its crystal system is monoclinic.



# 16
DFT (PBE) results for a relaxed Be2CdSnPd crystal.

POSCAR file:
```
Be2CdSnPd
1.0
4.382 0.000 0.000
0.000 4.382 0.000
0.000 0.000 5.501
Be Cd Sn Pd
2 1 1 1
Direct
0.000 0.500 0.000
0.500 0.000 0.000
0.000 0.000 0.000
0.000 0.000 0.500
0.500 0.500 0.500
```

## Properties
The total energy comes out at -2.523 eV/atom. The formation energy comes out at 0.99 eV per atom. The volume comes out at 105.6 Å³ per cell. Its crystal system is tetragonal.



# 17
DFT (PBE) results for a relaxed LaSi2Bi crystal.

POSCAR file:
```
LaSi2Bi
1.0
-4.061 4.061 3.231
4.061 -4.061 3.231
4.061 4.061 -3.231
La Si Bi
2 4 2
Direct
0.000 0.000 0.000
0.750 0.250 0.500
0.140 0.125 0.515
0.375 0.860 0.985
0.610 0.625 0.485
0.875 0.390 0.015
0.250 0.750 0.500
0.500 0.500 0.000
```

## Properties
The total energy comes out at -4.847 eV/atom. For the uncorrected formation energy, the calculation gives 67 meV per atom. The volume comes out at 213.1 Å³ per cell. Its crystal system is tetragonal.



# 18
DFT (PBE) results for a relaxed SmBeCoN crystal.

POSCAR file:
```
SmBeCoN
1.0
3.563 0.000 0.000
0.000 3.563 0.000
0.000 0.000 8.272
Sm Be Co N
2 2 2 2
Direct
0.250 0.250 0.157
0.750 0.750 0.843
0.250 0.250 0.669
0.750 0.750 0.331
0.250 0.750 0.500
0.750 0.250 0.500
0.250 0.250 0.864
0.750 0.750 0.136
```

## Properties
The total energy comes out at -6.758 eV/atom. For the uncorrected formation energy, the calculation gives -789 meV per atom. The volume comes out at 105.0 Å³ per cell. Its crystal system is tetragonal.



# 19
DFT (PBE) results for a relaxed LaPrErGa crystal.

POSCAR file:
```
LaPrErGa
1.0
0.000 3.876 3.876
3.876 0.000 3.876
3.876 3.876 0.000
La Pr Er Ga
1 1 1 1
Direct
0.000 0.000 0.000
0.500 0.500 0.500
0.750 0.750 0.750
0.250 0.250 0.250
```

## Properties
The total energy comes out at -4.442 eV/atom. The formation energy comes out at -0.12 eV per atom. The volume comes out at 116.4 Å³ per cell. Its crystal system is cubic.



# 20
DFT (PBE) results for a relaxed AcEr4S8 crystal.

POSCAR file:
```
AcEr4S8
1.0
3.914 2.260 7.054
-3.914 2.260 7.054
0.000 -4.520 7.054
Ac Er S
1 4 8
Direct
0.000 0.000 0.000
0.000 0.000 0.500
0.000 0.500 0.000
0.500 0.000 0.000
0.500 0.500 0.500
0.235 0.235 0.235
0.237 0.740 0.740
0.260 0.260 0.763
0.260 0.763 0.260
0.740 0.237 0.740
0.740 0.740 0.237
0.763 0.260 0.260
0.765 0.765 0.765
```

## Properties
The total energy comes out at -6.175 eV/atom. For the uncorrected formation energy, the calculation gives -1915 meV per atom. The volume comes out at 374.4 Å³ per cell. Its crystal system is trigonal.



# 21
DFT (PBE) results for a relaxed Bi12Pb3Au5 crystal.

POSCAR file:
```
Bi12Pb3Au5
1.0
-8.813 8.813 8.813
8.813 -8.813 8.813
8.813 8.813 -8.813
Bi Pb Au
48 12 20
Direct
0.048 0.219 0.132
0.048 0.329 0.916
0.084 0.632 0.413
0.084 0.952 0.671
0.087 0.719 0.671
0.087 0.868 0.416
0.132 0.048 0.219
0.132 0.584 0.913
0.171 0.219 0.587
0.171 0.452 0.584
0.219 0.132 0.048
0.219 0.587 0.171
0.281 0.329 0.913
0.281 0.452 0.368
0.329 0.913 0.281
0.329 0.916 0.048
0.368 0.281 0.452
0.368 0.587 0.916
0.413 0.084 0.632
0.413 0.829 0.781
0.416 0.087 0.868
0.416 0.829 0.548
0.452 0.368 0.281
0.452 0.584 0.171
0.548 0.416 0.829
0.548 0.632 0.719
0.584 0.171 0.452
0.584 0.913 0.132
0.587 0.171 0.219
0.587 0.916 0.368
0.632 0.413 0.084
0.632 0.719 0.548
0.671 0.084 0.952
0.671 0.087 0.719
0.719 0.548 0.632
0.719 0.671 0.087
0.781 0.413 0.829
0.781 0.868 0.952
0.829 0.548 0.416
0.829 0.781 0.413
0.868 0.416 0.087
0.868 0.952 0.781
0.913 0.132 0.584
0.913 0.281 0.329
0.916 0.048 0.329
0.916 0.368 0.587
0.952 0.671 0.084
0.952 0.781 0.868
0.125 0.250 0.375
0.125 0.375 0.750
0.250 0.375 0.125
0.250 0.875 0.625
0.375 0.125 0.250
0.375 0.750 0.125
0.625 0.250 0.875
0.625 0.875 0.750
0.750 0.125 0.375
0.750 0.625 0.875
0.875 0.625 0.250
0.875 0.750 0.625
0.000 0.000 0.000
0.000 0.000 0.500
0.000 0.500 0.000
0.000 0.500 0.500
0.125 0.750 0.875
0.125 0.875 0.250
0.250 0.125 0.875
0.250 0.625 0.375
0.375 0.250 0.625
0.375 0.625 0.750
0.500 0.000 0.000
0.500 0.000 0.500
0.500 0.500 0.000
0.500 0.500 0.500
0.625 0.375 0.250
0.625 0.750 0.375
0.750 0.375 0.625
0.750 0.875 0.125
0.875 0.125 0.750
0.875 0.250 0.125
```

## Properties
The total energy comes out at -3.510 eV/atom. The formation energy comes out at 0.19 eV per atom. The volume comes out at 2737.7 Å³ per cell. Its crystal system is cubic.



# 22
DFT (PBE) results for a relaxed CaGaBiAu crystal.

POSCAR file:
```
CaGaBiAu
1.0
0.000 3.673 3.673
3.673 0.000 3.673
3.673 3.673 0.000
Ca Ga Bi Au
1 1 1 1
Direct
0.000 0.000 0.000
0.250 0.250 0.250
0.500 0.500 0.500
0.750 0.750 0.750
```

## Properties
The total energy comes out at -3.415 eV/atom. The formation energy comes out at -0.37 eV per atom. The volume comes out at 99.1 Å³ per cell. Its crystal system is cubic.